Record 1
The following is a DFT calculation (GGA-PBEsol) of an optimized crystal structure of Be2ZnIn.

Output
E above lowest polymorph	82	meV per atom
V	110.8	Å³/cell
calculated density	5.94	g/cm3
total magnetization	0.0	μB per formula unit

Cell: 3.792 3.792 7.709 Å, 90.00 90.00 90.00°
Atoms (fractional coordinates):
Be: 0.000 0.000 0.000
Be: 0.000 0.500 0.250
Be: 0.500 0.000 0.750
Be: 0.500 0.500 0.500
Zn: 0.000 0.500 0.750
Zn: 0.500 0.000 0.250
In: 0.000 0.000 0.500
In: 0.500 0.500 0.000

***

Record 2
The following is a DFT calculation (GGA-PBEsol) of an optimized crystal structure of Be2ZnIn.

Output
E above lowest polymorph	50	meV per atom
V	56.6	Å³/cell
calculated density	5.81	g/cm3
total magnetization	0.0	μB per formula unit

Cell: 3.165 3.664 4.883 Å, 90.00 90.00 90.00°
Atoms (fractional coordinates):
Be: 0.000 0.000 0.000
Be: 0.500 0.500 0.245
Zn: 0.500 0.500 0.786
In: 0.000 0.000 0.491

***

The highest V belongs to which entry? number 1